[1]
# Ac3Cd PBE optimized geometry
data_Ac3Cd
_chemical_formula_sum 'Ac12 Cd4'
_space_group_name_H-M_alt 'F m -3 m'
_space_group_IT_number 225
_space_group_name_Hall '-F 4 2 3'
_cell_length_a 8.5475
_cell_length_b 8.5475
_cell_length_c 8.5475
_cell_angle_alpha 90.00
_cell_angle_beta 90.00
_cell_angle_gamma 90.00
loop_
_atom_site_label
_atom_site_type_symbol
_atom_site_fract_x
_atom_site_fract_y
_atom_site_fract_z
Ac1 Ac 0.0000 0.0000 0.0000
Ac2 Ac 0.2500 0.2500 0.2500
Cd1 Cd 0.0000 0.0000 0.5000
# energy relative to the elements = 0.029 eV per atom
# relative energy among the computed polymorphs = 176.2 meV per atom
# calculated volume = 39.03 Å³/atom
# M_tot = 0.001 μB per cell
# E_tot = -3.2813 eV per atom

---

[2]
# Ac3Cd PBE optimized geometry
data_Ac3Cd
_chemical_formula_sum 'Ac6 Cd2'
_space_group_name_H-M_alt 'P 63/m m c'
_space_group_IT_number 194
_space_group_name_Hall '-P 6c 2c'
_cell_length_a 7.7245
_cell_length_b 7.7245
_cell_length_c 5.9843
_cell_angle_alpha 90.00
_cell_angle_beta 90.00
_cell_angle_gamma 120.00
loop_
_atom_site_label
_atom_site_type_symbol
_atom_site_fract_x
_atom_site_fract_y
_atom_site_fract_z
Ac1 Ac 0.1743 0.3487 0.2500
Cd1 Cd 0.3333 0.6667 0.7500
# energy relative to the elements = -0.035 eV per atom
# relative energy among the computed polymorphs = 112.6 meV per atom
# calculated volume = 38.65 Å³/atom
# M_tot = 0.001 μB per cell
# E_tot = -3.3448 eV per atom

---

[3]
# Ac2Cd3 PBE optimized geometry
data_Ac2Cd3
_chemical_formula_sum 'Ac8 Cd12'
_space_group_name_H-M_alt 'C m c m'
_space_group_IT_number 63
_space_group_name_Hall '-C 2c 2'
_cell_length_a 3.9455
_cell_length_b 31.0143
_cell_length_c 5.1687
_cell_angle_alpha 90.00
_cell_angle_beta 90.00
_cell_angle_gamma 90.00
loop_
_atom_site_label
_atom_site_type_symbol
_atom_site_fract_x
_atom_site_fract_y
_atom_site_fract_z
Ac1 Ac 0.0000 0.0722 0.2500
Ac2 Ac 0.0000 0.2110 0.7500
Cd1 Cd 0.0000 0.3291 0.7500
Cd2 Cd 0.0000 0.3817 0.2500
Cd3 Cd 0.0000 0.4768 0.2500
# energy relative to the elements = -0.299 eV per atom
# relative energy among the computed polymorphs = 0.0 meV per atom
# calculated volume = 31.62 Å³/atom
# M_tot = 0.000 μB per cell
# E_tot = -2.4913 eV per atom

---

[4]
# Ac3Cd2 PBE optimized geometry
data_Ac3Cd2
_chemical_formula_sum 'Ac6 Cd4'
_space_group_name_H-M_alt 'C 1 2/m 1'
_space_group_IT_number 12
_cell_length_a 9.8637
_cell_length_b 5.6584
_cell_length_c 6.9361
_cell_angle_alpha 90.00
_cell_angle_beta 90.28
_cell_angle_gamma 90.00
loop_
_space_group_symop_operation_xyz
'x,y,z'
'-x,-y,-z'
'-x,y,-z'
'x,-y,z'
'x+1/2,y+1/2,z'
'-x+1/2,-y+1/2,-z'
'-x+1/2,y+1/2,-z'
'x+1/2,-y+1/2,z'
loop_
_atom_site_label
_atom_site_type_symbol
_atom_site_fract_x
_atom_site_fract_y
_atom_site_fract_z
Ac1 Ac 0.0000 0.0000 0.0000
Ac2 Ac 0.1664 0.5000 0.3454
Cd1 Cd 0.1672 0.5000 0.8432
# energy relative to the elements = -0.105 eV per atom
# relative energy among the computed polymorphs = 129.7 meV per atom
# calculated volume = 38.71 Å³/atom
# M_tot = 0.004 μB per cell
# E_tot = -2.9357 eV per atom

---

[5]
# AcCe3Cd8 PBE optimized geometry
data_AcCe3Cd8
_chemical_formula_sum 'Ac1 Ce3 Cd8'
_space_group_name_H-M_alt 'P 3 m 1'
_space_group_IT_number 156
_cell_length_a 6.1820
_cell_length_b 6.1820
_cell_length_c 9.3512
_cell_angle_alpha 90.00
_cell_angle_beta 90.00
_cell_angle_gamma 120.00
loop_
_space_group_symop_operation_xyz
'x,y,z'
'-y,x-y,z'
'-x+y,-x,z'
'-y,-x,z'
'-x+y,y,z'
'x,x-y,z'
loop_
_atom_site_label
_atom_site_type_symbol
_atom_site_fract_x
_atom_site_fract_y
_atom_site_fract_z
Ac1 Ac 0.0000 0.0000 0.0000
Ce1 Ce 0.0000 0.0000 0.3737
Ce2 Ce 0.6667 0.3333 0.5218
Ce3 Ce 0.6667 0.3333 0.8351
Cd1 Cd 0.1640 0.3279 0.6792
Cd2 Cd 0.3333 0.6667 0.4308
Cd3 Cd 0.3333 0.6667 0.9332
Cd4 Cd 0.5070 0.0139 0.1874
# energy relative to the elements = -0.212 eV per atom
# calculated volume = 25.79 Å³/atom
# M_tot = 3.113 μB per cell
# E_tot = -2.6476 eV per atom

---

[6]
# Ac2CeCd3 PBE optimized geometry
data_Ac2CeCd3
_chemical_formula_sum 'Ac2 Ce1 Cd3'
_space_group_name_H-M_alt 'P 4/m m m'
_space_group_IT_number 123
_space_group_name_Hall '-P 4 2'
_cell_length_a 3.9867
_cell_length_b 3.9867
_cell_length_c 12.0613
_cell_angle_alpha 90.00
_cell_angle_beta 90.00
_cell_angle_gamma 90.00
loop_
_atom_site_label
_atom_site_type_symbol
_atom_site_fract_x
_atom_site_fract_y
_atom_site_fract_z
Ac1 Ac 0.0000 0.0000 0.1739
Ce1 Ce 0.0000 0.0000 0.5000
Cd1 Cd 0.5000 0.5000 0.0000
Cd2 Cd 0.5000 0.5000 0.3513
# energy relative to the elements = -0.224 eV per atom
# calculated volume = 31.95 Å³/atom
# M_tot = 1.797 μB per cell
# E_tot = -3.0404 eV per atom

---

[7]
# Ac3CeCd8 PBE optimized geometry
data_Ac3CeCd8
_chemical_formula_sum 'Ac9 Ce3 Cd24'
_space_group_name_H-M_alt 'R 3 m'
_space_group_IT_number 160
_space_group_name_Hall 'R 3 -2"'
_cell_length_a 6.1712
_cell_length_b 6.1712
_cell_length_c 30.1498
_cell_angle_alpha 90.00
_cell_angle_beta 90.00
_cell_angle_gamma 120.00
loop_
_atom_site_label
_atom_site_type_symbol
_atom_site_fract_x
_atom_site_fract_y
_atom_site_fract_z
Ac1 Ac 0.0000 0.0000 0.0000
Ac2 Ac 0.0000 0.0000 0.1259
Ac3 Ac 0.0000 0.0000 0.6230
Ce1 Ce 0.0000 0.0000 0.4993
Cd1 Cd 0.0000 0.0000 0.3120
Cd2 Cd 0.0000 0.0000 0.8125
Cd3 Cd 0.0000 0.5000 0.5609
Cd4 Cd 0.0018 0.5009 0.0634
# energy relative to the elements = -0.268 eV per atom
# calculated volume = 27.62 Å³/atom
# M_tot = 3.185 μB per cell
# E_tot = -2.3993 eV per atom

---

[8]
# Ac5CeCd6 PBE optimized geometry
data_Ac5CeCd6
_chemical_formula_sum 'Ac10 Ce2 Cd12'
_space_group_name_H-M_alt 'C 1 2/m 1'
_space_group_IT_number 12
_cell_length_a 18.0367
_cell_length_b 8.0811
_cell_length_c 5.7064
_cell_angle_alpha 90.00
_cell_angle_beta 108.26
_cell_angle_gamma 90.00
loop_
_space_group_symop_operation_xyz
'x,y,z'
'-x,-y,-z'
'-x,y,-z'
'x,-y,z'
'x+1/2,y+1/2,z'
'-x+1/2,-y+1/2,-z'
'-x+1/2,y+1/2,-z'
'x+1/2,-y+1/2,z'
loop_
_atom_site_label
_atom_site_type_symbol
_atom_site_fract_x
_atom_site_fract_y
_atom_site_fract_z
Ac1 Ac 0.0000 0.0000 0.0000
Ac2 Ac 0.1652 0.0000 0.6651
Ac3 Ac 0.1683 0.5000 0.6683
Ce1 Ce 0.0000 0.5000 0.0000
Cd1 Cd 0.0000 0.2646 0.5000
Cd2 Cd 0.1624 0.2576 0.1622
# energy relative to the elements = -0.256 eV per atom
# calculated volume = 32.91 Å³/atom
# M_tot = 4.382 μB per cell
# E_tot = -2.9196 eV per atom

---

[9]
# Ac2CeCd5 PBE optimized geometry
data_Ac2CeCd5
_chemical_formula_sum 'Ac4 Ce2 Cd10'
_space_group_name_H-M_alt 'I 4/m m m'
_space_group_IT_number 139
_space_group_name_Hall '-I 4 2'
_cell_length_a 5.4298
_cell_length_b 5.4298
_cell_length_c 15.8077
_cell_angle_alpha 90.00
_cell_angle_beta 90.00
_cell_angle_gamma 90.00
loop_
_atom_site_label
_atom_site_type_symbol
_atom_site_fract_x
_atom_site_fract_y
_atom_site_fract_z
Ac1 Ac 0.0000 0.0000 0.2350
Ce1 Ce 0.0000 0.0000 0.5000
Cd1 Cd 0.0000 0.0000 0.0000
Cd2 Cd 0.0000 0.5000 0.1089
# energy relative to the elements = -0.226 eV per atom
# calculated volume = 29.13 Å³/atom
# M_tot = 1.706 μB per cell
# E_tot = -2.5667 eV per atom

---

[10]
# AcCe2Cd9 PBE optimized geometry
data_AcCe2Cd9
_chemical_formula_sum 'Ac3 Ce6 Cd27'
_space_group_name_H-M_alt 'R -3 m'
_space_group_IT_number 166
_space_group_name_Hall '-R 3 2"'
_cell_length_a 6.0375
_cell_length_b 6.0375
_cell_length_c 29.1668
_cell_angle_alpha 90.00
_cell_angle_beta 90.00
_cell_angle_gamma 120.00
loop_
_atom_site_label
_atom_site_type_symbol
_atom_site_fract_x
_atom_site_fract_y
_atom_site_fract_z
Ac1 Ac 0.0000 0.0000 0.0000
Ce1 Ce 0.0000 0.0000 0.1466
Cd1 Cd 0.0000 0.0000 0.3355
Cd2 Cd 0.0000 0.0000 0.5000
Cd3 Cd 0.0068 0.5034 0.9152
# energy relative to the elements = -0.209 eV per atom
# calculated volume = 25.58 Å³/atom
# M_tot = 7.274 μB per cell
# E_tot = -2.2265 eV per atom

---

[11]
# AcCeCd2 PBE optimized geometry
data_AcCeCd2
_chemical_formula_sum 'Ac4 Ce4 Cd8'
_space_group_name_H-M_alt 'F m -3 m'
_space_group_IT_number 225
_space_group_name_Hall '-F 4 2 3'
_cell_length_a 7.9309
_cell_length_b 7.9309
_cell_length_c 7.9309
_cell_angle_alpha 90.00
_cell_angle_beta 90.00
_cell_angle_gamma 90.00
loop_
_atom_site_label
_atom_site_type_symbol
_atom_site_fract_x
_atom_site_fract_y
_atom_site_fract_z
Ac1 Ac 0.0000 0.0000 0.0000
Ce1 Ce 0.0000 0.0000 0.5000
Cd1 Cd 0.2500 0.2500 0.2500
# energy relative to the elements = -0.176 eV per atom
# relative energy among the computed polymorphs = 18.1 meV per atom
# calculated volume = 31.18 Å³/atom
# M_tot = 7.718 μB per cell
# E_tot = -3.1443 eV per atom

---

[12]
# AcCeCd2 PBE optimized geometry
data_AcCeCd2
_chemical_formula_sum 'Ac3 Ce3 Cd6'
_space_group_name_H-M_alt 'R -3 m'
_space_group_IT_number 166
_space_group_name_Hall '-R 3 2"'
_cell_length_a 3.7410
_cell_length_b 3.7410
_cell_length_c 31.8693
_cell_angle_alpha 90.00
_cell_angle_beta 90.00
_cell_angle_gamma 120.00
loop_
_atom_site_label
_atom_site_type_symbol
_atom_site_fract_x
_atom_site_fract_y
_atom_site_fract_z
Ac1 Ac 0.0000 0.0000 0.0000
Ce1 Ce 0.0000 0.0000 0.5000
Cd1 Cd 0.0000 0.0000 0.2463
# energy relative to the elements = -0.019 eV per atom
# relative energy among the computed polymorphs = 175.8 meV per atom
# calculated volume = 32.19 Å³/atom
# M_tot = 3.840 μB per cell
# E_tot = -2.9867 eV per atom

---

[13]
# AcCeCd2 PBE optimized geometry
data_AcCeCd2
_chemical_formula_sum 'Ac1 Ce1 Cd2'
_space_group_name_H-M_alt 'P 4/m m m'
_space_group_IT_number 123
_space_group_name_Hall '-P 4 2'
_cell_length_a 3.9611
_cell_length_b 3.9611
_cell_length_c 7.9080
_cell_angle_alpha 90.00
_cell_angle_beta 90.00
_cell_angle_gamma 90.00
loop_
_atom_site_label
_atom_site_type_symbol
_atom_site_fract_x
_atom_site_fract_y
_atom_site_fract_z
Ac1 Ac 0.0000 0.0000 0.0000
Ce1 Ce 0.0000 0.0000 0.5000
Cd1 Cd 0.5000 0.5000 0.2714
# energy relative to the elements = -0.194 eV per atom
# relative energy among the computed polymorphs = 0.0 meV per atom
# calculated volume = 31.02 Å³/atom
# M_tot = 1.617 μB per cell
# E_tot = -3.1624 eV per atom

---

[14]
# Ac2CeCd4 PBE optimized geometry
data_Ac2CeCd4
_chemical_formula_sum 'Ac6 Ce3 Cd12'
_space_group_name_H-M_alt 'R -3 m'
_space_group_IT_number 166
_space_group_name_Hall '-R 3 2"'
_cell_length_a 5.5282
_cell_length_b 5.5282
_cell_length_c 27.5249
_cell_angle_alpha 90.00
_cell_angle_beta 90.00
_cell_angle_gamma 120.00
loop_
_atom_site_label
_atom_site_type_symbol
_atom_site_fract_x
_atom_site_fract_y
_atom_site_fract_z
Ac1 Ac 0.0000 0.0000 0.2467
Ce1 Ce 0.0000 0.0000 0.0000
Cd1 Cd 0.0000 0.0000 0.1237
Cd2 Cd 0.0000 0.0000 0.3726
# energy relative to the elements = -0.057 eV per atom
# calculated volume = 34.69 Å³/atom
# M_tot = 3.353 μB per cell
# E_tot = -2.6017 eV per atom

---

[15]
# AcCe2Cd6 PBE optimized geometry
data_AcCe2Cd6
_chemical_formula_sum 'Ac1 Ce2 Cd6'
_space_group_name_H-M_alt 'P 6/m m m'
_space_group_IT_number 191
_space_group_name_Hall '-P 6 2'
_cell_length_a 8.9249
_cell_length_b 8.9249
_cell_length_c 3.4733
_cell_angle_alpha 90.00
_cell_angle_beta 90.00
_cell_angle_gamma 120.00
loop_
_atom_site_label
_atom_site_type_symbol
_atom_site_fract_x
_atom_site_fract_y
_atom_site_fract_z
Ac1 Ac 0.0000 0.0000 0.0000
Ce1 Ce 0.3333 0.6667 0.0000
Cd1 Cd 0.0000 0.3378 0.5000
# energy relative to the elements = -0.259 eV per atom
# calculated volume = 26.62 Å³/atom
# M_tot = 2.599 μB per cell
# E_tot = -2.6447 eV per atom

---

[16]
# AcCeDyCd PBE optimized geometry
data_AcCeDyCd
_chemical_formula_sum 'Ac4 Ce4 Dy4 Cd4'
_space_group_name_H-M_alt 'F -4 3 m'
_space_group_IT_number 216
_space_group_name_Hall 'F -4 2 3'
_cell_length_a 7.9601
_cell_length_b 7.9601
_cell_length_c 7.9601
_cell_angle_alpha 90.00
_cell_angle_beta 90.00
_cell_angle_gamma 90.00
loop_
_atom_site_label
_atom_site_type_symbol
_atom_site_fract_x
_atom_site_fract_y
_atom_site_fract_z
Ac1 Ac 0.0000 0.0000 0.0000
Ce1 Ce 0.2500 0.2500 0.7500
Dy1 Dy 0.2500 0.2500 0.2500
Cd1 Cd 0.0000 0.0000 0.5000
# energy relative to the elements = 0.117 eV per atom
# calculated volume = 31.52 Å³/atom
# M_tot = 6.788 μB per cell
# E_tot = -3.7728 eV per atom

---

[17]
# AcCeErCd PBE optimized geometry
data_AcCeErCd
_chemical_formula_sum 'Ac4 Ce4 Er4 Cd4'
_space_group_name_H-M_alt 'F -4 3 m'
_space_group_IT_number 216
_space_group_name_Hall 'F -4 2 3'
_cell_length_a 7.9406
_cell_length_b 7.9406
_cell_length_c 7.9406
_cell_angle_alpha 90.00
_cell_angle_beta 90.00
_cell_angle_gamma 90.00
loop_
_atom_site_label
_atom_site_type_symbol
_atom_site_fract_x
_atom_site_fract_y
_atom_site_fract_z
Ac1 Ac 0.0000 0.0000 0.0000
Ce1 Ce 0.2500 0.2500 0.2500
Er1 Er 0.2500 0.2500 0.7500
Cd1 Cd 0.0000 0.0000 0.5000
# energy relative to the elements = 0.125 eV per atom
# calculated volume = 31.29 Å³/atom
# M_tot = 7.135 μB per cell
# E_tot = -3.7548 eV per atom

---

[18]
# AcCeCdGe PBE optimized geometry
data_AcCeCdGe
_chemical_formula_sum 'Ac4 Ce4 Cd4 Ge4'
_space_group_name_H-M_alt 'F -4 3 m'
_space_group_IT_number 216
_space_group_name_Hall 'F -4 2 3'
_cell_length_a 7.7229
_cell_length_b 7.7229
_cell_length_c 7.7229
_cell_angle_alpha 90.00
_cell_angle_beta 90.00
_cell_angle_gamma 90.00
loop_
_atom_site_label
_atom_site_type_symbol
_atom_site_fract_x
_atom_site_fract_y
_atom_site_fract_z
Ac1 Ac 0.0000 0.0000 0.0000
Ce1 Ce 0.0000 0.0000 0.5000
Cd1 Cd 0.2500 0.2500 0.7500
Ge1 Ge 0.2500 0.2500 0.2500
# energy relative to the elements = -0.345 eV per atom
# calculated volume = 28.79 Å³/atom
# M_tot = 4.327 μB per cell
# E_tot = -4.2384 eV per atom

---

[19]
# AcCe2Cd2Hg2 PBE optimized geometry
data_AcCe2Cd2Hg2
_chemical_formula_sum 'Ac2 Ce4 Cd4 Hg4'
_space_group_name_H-M_alt 'C 1 2/m 1'
_space_group_IT_number 12
_cell_length_a 10.2934
_cell_length_b 4.6421
_cell_length_c 8.2767
_cell_angle_alpha 90.00
_cell_angle_beta 97.23
_cell_angle_gamma 90.00
loop_
_space_group_symop_operation_xyz
'x,y,z'
'-x,-y,-z'
'-x,y,-z'
'x,-y,z'
'x+1/2,y+1/2,z'
'-x+1/2,-y+1/2,-z'
'-x+1/2,y+1/2,-z'
'x+1/2,-y+1/2,z'
loop_
_atom_site_label
_atom_site_type_symbol
_atom_site_fract_x
_atom_site_fract_y
_atom_site_fract_z
Ac1 Ac 0.0000 0.0000 0.0000
Ce1 Ce 0.1162 0.0000 0.4392
Cd1 Cd 0.0992 0.5000 0.7208
Hg1 Hg 0.2113 0.5000 0.1854
# energy relative to the elements = -0.235 eV per atom
# calculated volume = 28.02 Å³/atom
# M_tot = 3.748 μB per cell
# E_tot = -2.8654 eV per atom

---

[20]
# AcCeCd2Hg4 PBE optimized geometry
data_AcCeCd2Hg4
_chemical_formula_sum 'Ac3 Ce3 Cd6 Hg12'
_space_group_name_H-M_alt 'R -3 m'
_space_group_IT_number 166
_space_group_name_Hall '-R 3 2"'
_cell_length_a 5.2811
_cell_length_b 5.2811
_cell_length_c 26.0933
_cell_angle_alpha 90.00
_cell_angle_beta 90.00
_cell_angle_gamma 120.00
loop_
_atom_site_label
_atom_site_type_symbol
_atom_site_fract_x
_atom_site_fract_y
_atom_site_fract_z
Ac1 Ac 0.0000 0.0000 0.0000
Ce1 Ce 0.0000 0.0000 0.5000
Cd1 Cd 0.0000 0.0000 0.2488
Hg1 Hg 0.0000 0.0000 0.1281
Hg2 Hg 0.0000 0.0000 0.3790
# energy relative to the elements = -0.377 eV per atom
# calculated volume = 26.26 Å³/atom
# M_tot = 2.904 μB per cell
# E_tot = -2.0117 eV per atom